First-principles (PBE-GGA) data for a relaxed CaSbRh2 crystal, as listed in Alexandria.

Summary:
The total magnetic moment comes out at 0.00 μB per formula unit. For the energy relative to the elements, uncorrected, the calculation gives -0.40 eV/atom.

Cell lengths 5.489, 5.489, 5.489 Å; angles 140.82, 134.29, 61.74 degrees
Positions (direct):
Rh: 0.736 0.236 0.500
Rh: 0.994 0.994 0.000
Ca: 0.253 0.753 0.500
Sb: 0.518 0.518 0.000

First-principles (PBE-GGA) data for a relaxed CaSb2Rh crystal, as listed in Alexandria.

Summary:
The total magnetic moment comes out at 0.00 μB per formula unit. For the energy relative to the elements, uncorrected, the calculation gives -0.35 eV/atom.

Cell lengths 3.717, 3.717, 6.932 Å; angles 90.00, 90.00, 90.00 degrees
Positions (direct):
Ca: 0.000 0.000 0.496
Rh: 0.500 0.500 0.831
Sb: 0.500 0.500 0.228
Sb: 0.000 0.000 0.944

First-principles (PBE-GGA) data for a relaxed CaSb2Rh crystal, as listed in Alexandria.

Summary:
The total magnetic moment comes out at 0.00 μB per formula unit. For the energy relative to the elements, uncorrected, the calculation gives -0.35 eV/atom.

Cell lengths 5.179, 3.367, 5.418 Å; angles 90.00, 90.00, 90.00 degrees
Positions (direct):
Ca: 0.000 0.500 0.485
Sb: 0.000 0.000 0.963
Sb: 0.500 0.000 0.281
Rh: 0.500 0.000 0.771

First-principles (PBE-GGA) data for a relaxed CaSbRh4 crystal, as listed in Alexandria.

Summary:
The total magnetic moment comes out at 0.00 μB per formula unit. For the energy relative to the elements, uncorrected, the calculation gives -0.22 eV/atom.

Cell lengths 5.304, 5.304, 5.304 Å; angles 60.00, 60.00, 60.00 degrees
Positions (direct):
Ca: 0.000 0.000 0.000
Sb: 0.750 0.750 0.750
Rh: 0.376 0.376 0.873
Rh: 0.376 0.873 0.376
Rh: 0.873 0.376 0.376
Rh: 0.376 0.376 0.376

First-principles (PBE-GGA) data for a relaxed CaSb2Rh crystal, as listed in Alexandria.

Summary:
The total magnetic moment comes out at 0.00 μB per formula unit. For the energy relative to the elements, uncorrected, the calculation gives -0.15 eV/atom.

Cell lengths 5.071, 5.071, 5.071 Å; angles 60.00, 60.00, 60.00 degrees
Positions (direct):
Rh: 0.750 0.750 0.750
Ca: 0.500 0.500 0.500
Sb: 0.000 0.000 0.000
Sb: 0.250 0.250 0.250

First-principles (PBE-GGA) data for a relaxed CaSb2Rh crystal, as listed in Alexandria.

Summary:
The total magnetic moment comes out at 0.00 μB per formula unit. For the energy relative to the elements, uncorrected, the calculation gives -0.33 eV/atom.

Cell lengths 5.022, 5.022, 5.022 Å; angles 60.00, 60.00, 60.00 degrees
Positions (direct):
Sb: 0.250 0.250 0.250
Sb: 0.750 0.750 0.750
Rh: 0.500 0.500 0.500
Ca: 0.000 0.000 0.000

First-principles (PBE-GGA) data for a relaxed CaSb2Rh crystal, as listed in Alexandria.

Summary:
The total magnetic moment comes out at 0.00 μB per formula unit. For the energy relative to the elements, uncorrected, the calculation gives -0.44 eV/atom.

Cell lengths 5.251, 5.251, 5.251 Å; angles 131.19, 111.91, 88.18 degrees
Positions (direct):
Sb: 0.042 0.042 0.000
Sb: 0.458 0.458 0.000
Rh: 0.250 0.750 0.500
Ca: 0.750 0.250 0.500

First-principles (PBE-GGA) data for a relaxed CaSb2Rh crystal, as listed in Alexandria.

Summary:
The total magnetic moment comes out at 0.00 μB per formula unit. For the energy relative to the elements, uncorrected, the calculation gives -0.32 eV/atom.

Cell lengths 5.716, 5.716, 5.716 Å; angles 135.90, 135.90, 64.14 degrees
Positions (direct):
Rh: 0.750 0.250 0.500
Sb: 0.250 0.750 0.500
Sb: 0.000 0.000 0.000
Ca: 0.500 0.500 0.000

First-principles (PBE-GGA) data for a relaxed CaSb2Rh4 crystal, as listed in Alexandria.

Summary:
The total magnetic moment comes out at 0.00 μB per formula unit. For the energy relative to the elements, uncorrected, the calculation gives -0.52 eV/atom.

Cell lengths 4.078, 8.041, 8.041 Å; angles 90.00, 90.00, 90.00 degrees
Positions (direct):
Rh: 0.000 0.345 0.078
Rh: 0.000 0.655 0.922
Rh: 0.500 0.845 0.422
Rh: 0.500 0.155 0.578
Rh: 0.500 0.422 0.845
Rh: 0.000 0.078 0.345
Rh: 0.500 0.578 0.155
Rh: 0.000 0.922 0.655
Sb: 0.500 0.272 0.272
Sb: 0.000 0.772 0.228
Sb: 0.500 0.728 0.728
Sb: 0.000 0.228 0.772
Ca: 0.000 0.500 0.500
Ca: 0.500 0.000 0.000

First-principles (PBE-GGA) data for a relaxed Ca3Sb3Rh2 crystal, as listed in Alexandria.

Summary:
The total magnetic moment comes out at 0.00 μB per formula unit. The calculation puts the distance to the lowest polymorph of the same formula at 0 meV/atom. For the energy relative to the elements, uncorrected, the calculation gives -0.85 eV/atom.

Cell lengths 4.597, 6.010, 15.156 Å; angles 90.00, 90.00, 112.49 degrees
Positions (direct):
Ca: 0.922 0.843 0.111
Ca: 0.922 0.843 0.389
Ca: 0.358 0.716 0.750
Ca: 0.078 0.157 0.611
Ca: 0.078 0.157 0.889
Ca: 0.642 0.284 0.250
Sb: 0.367 0.734 0.964
Sb: 0.342 0.684 0.250
Sb: 0.633 0.266 0.464
Sb: 0.658 0.316 0.750
Sb: 0.367 0.734 0.536
Sb: 0.633 0.266 0.036
Rh: 0.207 0.415 0.400
Rh: 0.207 0.415 0.100
Rh: 0.793 0.585 0.900
Rh: 0.793 0.585 0.600

First-principles (PBE-GGA) data for a relaxed Ca2Sb4Rh5 crystal, as listed in Alexandria.

Summary:
The total magnetic moment comes out at 0.00 μB per formula unit. For the energy relative to the elements, uncorrected, the calculation gives -0.56 eV/atom.

Cell lengths 5.824, 5.898, 8.505 Å; angles 80.27, 69.98, 60.41 degrees
Positions (direct):
Rh: 0.750 0.500 0.500
Rh: 0.500 0.000 0.000
Rh: 0.500 0.500 0.000
Rh: 0.250 0.500 0.500
Rh: 0.000 0.500 0.000
Sb: 0.790 0.676 0.744
Sb: 0.466 0.324 0.744
Sb: 0.210 0.324 0.256
Sb: 0.534 0.676 0.256
Ca: 0.117 0.000 0.765
Ca: 0.883 0.000 0.235

First-principles (PBE-GGA) data for a relaxed Ca2Sb2Rh3 crystal, as listed in Alexandria.

Summary:
The total magnetic moment comes out at 0.00 μB per formula unit. For the energy relative to the elements, uncorrected, the calculation gives -0.62 eV/atom.

Cell lengths 3.850, 6.081, 7.392 Å; angles 113.76, 90.00, 108.46 degrees
Positions (direct):
Sb: 0.159 0.318 0.235
Sb: 0.841 0.682 0.765
Ca: 0.112 0.225 0.762
Ca: 0.888 0.775 0.238
Rh: 0.618 0.236 0.443
Rh: 0.500 0.000 0.000
Rh: 0.382 0.764 0.557